No. 1
Density functional theory data (PBE) for a relaxed La14PuTh crystal.

Properties
- VASP energy (Ha/atom) = -0.2071
- energy of formation from the pure elements (eV/atom) = 0.037
- space group = Amm2 (38)
- calculated volume (Å³/atom) = 35.2

Structure (POSCAR):
```
La14PuTh
1.0
10.4333 0.0000 0.0000
0.0000 5.1942 5.2030
0.0000 -5.1942 5.2030
La Pu Th
14 1 1
direct
0.0000 0.0000 0.0000 La
0.0000 0.4993 0.4993 La
0.0000 0.5014 0.9979 La
0.0000 0.9979 0.5014 La
0.2582 0.2505 0.2505 La
0.2600 0.2498 0.7495 La
0.2600 0.7495 0.2498 La
0.2615 0.7494 0.7494 La
0.5000 0.0012 0.4971 La
0.5000 0.4971 0.0012 La
0.7385 0.7494 0.7494 La
0.7400 0.2498 0.7495 La
0.7400 0.7495 0.2498 La
0.7418 0.2505 0.2505 La
0.5000 0.9995 0.9995 Pu
0.5000 0.4999 0.4999 Th
```

***

No. 2
Density functional theory data (PBE) for a relaxed LaPu4Th crystal.

Properties
- VASP energy (Ha/atom) = -0.4189
- energy of formation from the pure elements (eV/atom) = 0.214
- space group = F-43m (216)
- calculated volume (Å³/atom) = 28.0

Structure (POSCAR):
```
LaPu4Th
1.0
0.0000 4.3794 4.3794
4.3794 0.0000 4.3794
4.3794 4.3794 0.0000
La Pu Th
1 4 1
direct
0.0000 0.0000 0.0000 La
0.1271 0.6243 0.6243 Pu
0.6243 0.1271 0.6243 Pu
0.6243 0.6243 0.1271 Pu
0.6243 0.6243 0.6243 Pu
0.2500 0.2500 0.2500 Th
```

***

No. 3
Density functional theory data (PBE) for a relaxed LaPuTh2 crystal.

Properties
- VASP energy (Ha/atom) = -0.3084
- energy of formation from the pure elements (eV/atom) = 0.133
- space group = R3m (160)
- calculated volume (Å³/atom) = 31.8
- E above lowest polymorph (eV/atom) = 0.014

Structure (POSCAR):
```
LaPuTh2
1.0
3.5538 0.0000 0.0000
-1.7769 3.0777 0.0000
0.0000 0.0000 34.8414
La Pu Th
3 3 6
direct
0.0000 0.0000 0.0000 La
0.3333 0.6667 0.6667 La
0.6667 0.3333 0.3333 La
0.0000 0.0000 0.8301 Pu
0.3333 0.6667 0.4968 Pu
0.6667 0.3333 0.1635 Pu
0.0000 0.0000 0.2441 Th
0.0000 0.0000 0.4192 Th
0.3333 0.6667 0.0858 Th
0.3333 0.6667 0.9107 Th
0.6667 0.3333 0.5774 Th
0.6667 0.3333 0.7525 Th
```

***

No. 4
Density functional theory data (PBE) for a relaxed La2PuTh crystal.

Properties
- VASP energy (Ha/atom) = -0.2854
- energy of formation from the pure elements (eV/atom) = 0.134
- space group = P4/mmm (123)
- calculated volume (Å³/atom) = 32.0
- E above lowest polymorph (eV/atom) = 0.000

Structure (POSCAR):
```
La2PuTh
1.0
4.9818 0.0000 0.0000
0.0000 4.9818 0.0000
0.0000 0.0000 5.1644
La Pu Th
2 1 1
direct
0.0000 0.5000 0.0000 La
0.5000 0.0000 0.0000 La
0.0000 0.0000 0.5000 Pu
0.5000 0.5000 0.5000 Th
```

***

No. 5
Density functional theory data (PBE) for a relaxed LaPuThTl crystal.

Properties
- VASP energy (Ha/atom) = -0.2616
- energy of formation from the pure elements (eV/atom) = 0.143
- space group = F-43m (216)
- calculated volume (Å³/atom) = 30.0

Structure (POSCAR):
```
LaPuThTl
1.0
7.8325 0.0000 0.0000
0.0000 7.8325 0.0000
0.0000 0.0000 7.8325
La Pu Th Tl
4 4 4 4
direct
0.0000 0.0000 0.0000 La
0.0000 0.5000 0.5000 La
0.5000 0.0000 0.5000 La
0.5000 0.5000 0.0000 La
0.0000 0.0000 0.5000 Pu
0.0000 0.5000 0.0000 Pu
0.5000 0.0000 0.0000 Pu
0.5000 0.5000 0.5000 Pu
0.2500 0.2500 0.7500 Th
0.2500 0.7500 0.2500 Th
0.7500 0.2500 0.2500 Th
0.7500 0.7500 0.7500 Th
0.2500 0.2500 0.2500 Tl
0.2500 0.7500 0.7500 Tl
0.7500 0.2500 0.7500 Tl
0.7500 0.7500 0.2500 Tl
```

***

No. 6
Density functional theory data (PBE) for a relaxed LaPuTi crystal.

Properties
- VASP energy (Ha/atom) = -0.3243
- energy of formation from the pure elements (eV/atom) = 0.227
- space group = I4/mmm (139)
- calculated volume (Å³/atom) = 26.4

Structure (POSCAR):
```
LaPuTi
1.0
3.4498 0.0000 0.0000
0.0000 3.4498 0.0000
0.0000 0.0000 26.5794
La Pu Ti
4 4 4
direct
0.0000 0.0000 0.0673 La
0.0000 0.0000 0.9327 La
0.5000 0.5000 0.4327 La
0.5000 0.5000 0.5673 La
0.0000 0.0000 0.3423 Pu
0.0000 0.0000 0.6577 Pu
0.5000 0.5000 0.1577 Pu
0.5000 0.5000 0.8423 Pu
0.0000 0.0000 0.2247 Ti
0.0000 0.0000 0.7753 Ti
0.5000 0.5000 0.2753 Ti
0.5000 0.5000 0.7247 Ti
```

***

No. 7
Density functional theory data (PBE) for a relaxed La6PuTl2 crystal.

Properties
- VASP energy (Ha/atom) = -0.1995
- energy of formation from the pure elements (eV/atom) = -0.026
- space group = P2_1/c (14)
- calculated volume (Å³/atom) = 32.6

Structure (POSCAR):
```
La6PuTl2
1.0
6.7895 0.0000 0.0000
0.0000 10.0079 0.0000
-5.7189 0.0000 8.6333
La Pu Tl
12 2 4
direct
0.1376 0.1209 0.4715 La
0.1376 0.3791 0.9715 La
0.3109 0.7377 0.9352 La
0.3109 0.7623 0.4352 La
0.3361 0.0434 0.2094 La
0.3361 0.4566 0.7094 La
0.6639 0.5434 0.2906 La
0.6639 0.9566 0.7906 La
0.6891 0.2377 0.5648 La
0.6891 0.2623 0.0648 La
0.8624 0.6209 0.0285 La
0.8624 0.8791 0.5285 La
0.5000 0.0000 0.5000 Pu
0.5000 0.5000 0.0000 Pu
0.1993 0.0756 0.8357 Tl
0.1993 0.4244 0.3357 Tl
0.8007 0.5756 0.6643 Tl
0.8007 0.9244 0.1643 Tl
```

***

No. 8
Density functional theory data (PBE) for a relaxed La2PuTl crystal.

Properties
- VASP energy (Ha/atom) = -0.2479
- energy of formation from the pure elements (eV/atom) = -0.106
- space group = P4/mmm (123)
- calculated volume (Å³/atom) = 30.8
- E above lowest polymorph (eV/atom) = 0.000

Structure (POSCAR):
```
La2PuTl
1.0
5.1099 0.0000 0.0000
0.0000 5.1099 0.0000
0.0000 0.0000 4.7185
La Pu Tl
2 1 1
direct
0.0000 0.5000 0.0000 La
0.5000 0.0000 0.0000 La
0.0000 0.0000 0.5000 Pu
0.5000 0.5000 0.5000 Tl
```